[1]
A plane-wave DFT calculation with GGA-PBE was carried out for HoTlHgF6 after structural relaxation.

The calculated volume comes out at 185.8 Å³/cell. The calculation puts the density at 6.11 Mg/m³. The value obtained for the formation energy (no corrections) is -24.20 eV per formula unit. The density of states at the Fermi level comes out at 0.0000 states/eV/atom.

Unit cell a=6.2021 b=6.2020 c=5.5788 alpha=90.01 beta=89.99 gamma=59.98
Sites, in units of the cell vectors:
Hg 0.3334 0.3334 0.5000
F 0.9801 0.6338 0.7097
F 0.9804 0.3858 0.2903
F 0.3860 0.6337 0.2903
F 0.6338 0.9802 0.2902
F 0.3858 0.9804 0.7096
F 0.6336 0.3861 0.7097
Tl 0.0000 0.0000 0.0000
Ho 0.6666 0.6666 0.5000

[2]
A plane-wave DFT calculation with GGA-PBE was carried out for ZrIrS2 after structural relaxation.

The calculated volume comes out at 150.1 Å³/cell. The calculation puts the density at 7.69 Mg/m³. The value obtained for the formation energy (no corrections) is -2.62 eV per formula unit. The density of states at the Fermi level comes out at 0.8759 states/eV/atom. The value obtained for the energy above the lowest structure with this stoichiometry is 0.0 meV per atom.

Unit cell a=4.5226 b=4.5226 c=8.0043 alpha=73.59 beta=73.59 gamma=90.00
Sites, in units of the cell vectors:
S 0.0958 0.6250 0.2500
S 0.3750 0.3458 0.7500
S 0.6542 0.1250 0.2500
S 0.8750 0.9042 0.7500
Zr 0.5000 0.5000 0.0000
Zr 0.2500 0.7500 0.5000
Ir 0.7500 0.2500 0.5000
Ir 0.0000 0.0000 0.0000

[3]
A plane-wave DFT calculation with GGA-PBE was carried out for K2TiAgO4 after structural relaxation.

The calculated volume comes out at 136.8 Å³/cell. The calculation puts the density at 3.62 Mg/m³. The value obtained for the formation energy (no corrections) is -14.06 eV per formula unit. The density of states at the Fermi level comes out at 0.3511 states/eV/atom.

Unit cell a=6.2220 b=6.2226 c=5.6456 alpha=123.47 beta=123.47 gamma=89.98
Sites, in units of the cell vectors:
K 0.2361 0.2359 0.4717
K 0.4861 0.9861 0.9722
Ti 0.7358 0.7358 0.4717
O 0.7445 0.6872 0.7703
O 0.3883 0.7269 0.1724
O 0.7840 0.4457 0.1724
O 0.0262 0.0833 0.7713
Ag 0.9861 0.4861 0.9721

[4]
A plane-wave DFT calculation with GGA-PBE was carried out for ZrPtBr after structural relaxation.

The calculated volume comes out at 68.9 Å³/cell. The calculation puts the density at 8.83 Mg/m³. The value obtained for the formation energy (no corrections) is -1.99 eV per formula unit. The density of states at the Fermi level comes out at 0.8084 states/eV/atom. The value obtained for the energy above the lowest structure with this stoichiometry is 72.6 meV per atom.

Unit cell a=7.0675 b=7.0672 c=3.2073 alpha=76.89 beta=76.88 gamma=26.23
Sites, in units of the cell vectors:
Pt 0.2943 0.2943 0.7057
Br 0.0346 0.0346 0.9654
Zr 0.6711 0.6711 0.3289

[5]
A plane-wave DFT calculation with GGA-PBE was carried out for Tb5Ho3Tm4 after structural relaxation.

The calculated volume comes out at 369.7 Å³/cell. The calculation puts the density at 8.83 Mg/m³. The density of states at the Fermi level comes out at 1.2756 states/eV/atom. The value obtained for the energy above the lowest structure with this stoichiometry is 0.0 meV per atom. The calculation puts the calculated formation energy at 0.02 eV/atom.

Unit cell a=7.0451 b=11.1285 c=12.6853 alpha=151.29 beta=56.30 gamma=129.30
Sites, in units of the cell vectors:
Tm 0.8343 0.6683 0.8339
Tm 0.0836 0.1680 0.3335
Tm 0.9164 0.8320 0.6665
Tm 0.1657 0.3317 0.1661
Tb 0.3342 0.6673 0.8330
Tb 0.7493 0.5006 0.0005
Tb 0.2507 0.4994 0.9995
Tb 0.5000 0.0000 0.5000
Tb 0.6658 0.3327 0.1670
Ho 0.4149 0.8320 0.6663
Ho 0.5851 0.1680 0.3337
Ho 0.0000 0.0000 0.5000

[6]
A plane-wave DFT calculation with GGA-PBE was carried out for Pm8As4S3 after structural relaxation.

The calculated volume comes out at 400.3 Å³/cell. The calculation puts the density at 6.45 Mg/m³. The value obtained for the formation energy (no corrections) is -24.51 eV per formula unit. The density of states at the Fermi level comes out at 0.4022 states/eV/atom.

Unit cell a=8.2915 b=8.2673 c=8.2673 alpha=90.09 beta=120.01 gamma=120.01
Sites, in units of the cell vectors:
As 0.5000 0.0000 0.0000
As 0.0000 0.0000 0.5000
As 0.0000 0.5000 0.0000
As 0.0000 0.0000 0.0000
Pm 0.0000 0.7512 0.2488
Pm 0.4953 0.2489 0.2489
Pm 0.9971 0.7483 0.7483
Pm 0.5000 0.2504 0.7496
Pm 0.0000 0.2488 0.7512
Pm 0.5000 0.7496 0.2504
Pm 0.0029 0.2517 0.2517
Pm 0.5047 0.7511 0.7511
S 0.5000 0.5000 0.0000
S 0.5000 0.5000 0.5000
S 0.5000 0.0000 0.5000

[7]
A plane-wave DFT calculation with GGA-PBE was carried out for Sr3Dy3MgS8 after structural relaxation.

The calculated volume comes out at 376.0 Å³/cell. The calculation puts the density at 4.55 Mg/m³. The value obtained for the formation energy (no corrections) is -29.77 eV per formula unit. The density of states at the Fermi level comes out at 0.2412 states/eV/atom.

Unit cell a=7.9688 b=7.9684 c=8.2418 alpha=118.91 beta=90.00 gamma=120.00
Sites, in units of the cell vectors:
Sr 0.0000 0.5000 0.0000
Sr 0.0000 0.0000 0.0000
Sr 0.5000 0.5000 0.0000
S 0.2571 0.5142 0.2713
S 0.7468 0.9821 0.7175
S 0.7429 0.4858 0.7287
S 0.2354 0.9821 0.7175
S 0.7646 0.0179 0.2825
S 0.7647 0.5295 0.2826
S 0.2353 0.4705 0.7174
S 0.2532 0.0179 0.2825
Dy 0.5000 0.5000 0.5000
Dy 0.0000 0.5000 0.5000
Dy 0.5000 0.0000 0.5000
Mg 0.0000 0.0000 0.5000

[8]
A plane-wave DFT calculation with GGA-PBE was carried out for Pm2InAu5 after structural relaxation.

The calculated volume comes out at 183.4 Å³/cell. The calculation puts the density at 12.58 Mg/m³. The density of states at the Fermi level comes out at 0.4598 states/eV/atom. The calculation puts the calculated formation energy at -0.53 eV/atom.

Unit cell a=6.2695 b=6.2695 c=6.2695 alpha=97.18 beta=115.95 gamma=115.95
Sites, in units of the cell vectors:
Au 0.0000 0.7332 0.3012
Au 0.4320 0.7332 0.7332
Au 0.5680 0.3012 0.3012
Au 0.0000 0.2423 0.2423
Au 0.0000 0.3012 0.7332
Pm 0.5000 0.7622 0.2622
Pm 0.5000 0.2622 0.7622
In 0.0000 0.8866 0.8866

[9]
A plane-wave DFT calculation with GGA-PBE was carried out for Tm2PuMn after structural relaxation.

The calculated volume comes out at 99.5 Å³/cell. The calculation puts the density at 10.63 Mg/m³. The density of states at the Fermi level comes out at 2.1960 states/eV/atom. The value obtained for the energy above the lowest structure with this stoichiometry is 0.0 meV per atom. The calculation puts the calculated formation energy at 0.14 eV/atom.

Unit cell a=3.4014 b=3.4014 c=8.6003 alpha=90.00 beta=90.00 gamma=90.00
Sites, in units of the cell vectors:
Tm 0.0000 0.0000 0.7992
Tm 0.0000 0.0000 0.2008
Pu 0.5000 0.5000 0.5000
Mn 0.5000 0.5000 0.0000

[10]
A plane-wave DFT calculation with GGA-PBE was carried out for Fe2ReSe after structural relaxation.

The calculated volume comes out at 53.9 Å³/cell. The calculation puts the density at 11.62 Mg/m³. The value obtained for the formation energy (no corrections) is 1.96 eV per formula unit. The density of states at the Fermi level comes out at 1.0361 states/eV/atom.

Unit cell a=4.3157 b=4.3157 c=2.8916 alpha=90.00 beta=90.00 gamma=90.00
Sites, in units of the cell vectors:
Re 0.5000 0.0000 0.5000
Se 0.0000 0.5000 0.5000
Fe 0.0000 0.0000 0.0000
Fe 0.5000 0.5000 0.0000